[1]
Below is a relaxed AcGa3Au3 crystal, with properties calculated at the PBE-GGA level.

Calculated values
Energy of formation from the pure elements: -28.8 kJ per mole of atoms

a b c (Å): 7.0668 7.0668 7.0668
angles (deg): 90.00 90.00 90.00
Closest atoms and distances in Å follow each position.
Atoms (fractional coordinates):
Ac 0.0000 0.0000 0.0000  12 Ga 3.95, 12 Au 3.95
Ac 0.5000 0.5000 0.5000  12 Ga 3.95, 12 Au 3.95
Ga 0.0000 0.2500 0.5000  4 Au 2.50
Ga 0.0000 0.7500 0.5000  4 Au 2.50
Ga 0.2500 0.5000 0.0000  4 Au 2.50
Ga 0.5000 0.0000 0.2500  4 Au 2.50
Ga 0.5000 0.0000 0.7500  4 Au 2.50
Ga 0.7500 0.5000 0.0000  4 Au 2.50
Au 0.0000 0.5000 0.2500  4 Ga 2.50
Au 0.0000 0.5000 0.7500  4 Ga 2.50
Au 0.2500 0.0000 0.5000  4 Ga 2.50
Au 0.5000 0.2500 0.0000  4 Ga 2.50
Au 0.5000 0.7500 0.0000  4 Ga 2.50
Au 0.7500 0.0000 0.5000  4 Ga 2.50

[2]
Below is a relaxed AcGa3Au3 crystal, with properties calculated at the PBE-GGA level.

Calculated values
Energy of formation from the pure elements: -34.4 kJ per mole of atoms

a b c (Å): 8.0860 8.0860 8.0860
angles (deg): 58.91 58.91 58.91
Closest atoms and distances in Å follow each position.
Atoms (fractional coordinates):
Ac 0.1672 0.1672 0.1672  6 Au 3.24-3.25, 6 Ga 3.46-3.48
Ac 0.8328 0.8328 0.8328  6 Au 3.24-3.25, 6 Ga 3.46-3.48
Ga 0.0873 0.7016 0.3950  4 Au 2.62-2.75
Ga 0.2984 0.6050 0.9127  4 Au 2.62-2.75
Ga 0.3950 0.0873 0.7016  4 Au 2.62-2.75
Ga 0.6050 0.9127 0.2984  4 Au 2.62-2.75
Ga 0.7016 0.3950 0.0873  4 Au 2.62-2.75
Ga 0.9127 0.2984 0.6050  4 Au 2.62-2.75
Au 0.0548 0.4024 0.7510  4 Ga 2.62-2.75
Au 0.2490 0.9452 0.5976  4 Ga 2.62-2.75
Au 0.4024 0.7510 0.0548  4 Ga 2.62-2.75
Au 0.5976 0.2490 0.9452  4 Ga 2.62-2.75
Au 0.7510 0.0548 0.4024  4 Ga 2.62-2.75
Au 0.9452 0.5976 0.2490  4 Ga 2.62-2.75

[3]
Below is a relaxed Ac2Ga12Au crystal, with properties calculated at the PBE-GGA level.

Calculated values
Energy of formation from the pure elements: -36.0 kJ per mole of atoms

a b c (Å): 6.3916 6.3916 15.7105
angles (deg): 90.00 90.00 90.00
Closest atoms and distances in Å follow each position.
Atoms (fractional coordinates):
Ac 0.2500 0.7500 0.2476  14 Ga 3.30-3.54
Ac 0.2500 0.7500 0.7524  14 Ga 3.30-3.54
Ac 0.7500 0.2500 0.2476  14 Ga 3.30-3.54
Ac 0.7500 0.2500 0.7524  14 Ga 3.30-3.54
Ga 0.0002 0.9998 0.0895  2 Au 2.66, 3 Ga 2.68-2.81
Ga 0.9998 0.0002 0.9105  2 Au 2.66, 3 Ga 2.68-2.81
Ga 0.9998 0.4998 0.0895  2 Au 2.66, 3 Ga 2.68-2.81
Ga 0.0002 0.5002 0.9105  2 Au 2.66, 3 Ga 2.68-2.81
Ga 0.0730 0.5730 0.4311  3 Ga 2.54-2.72
Ga 0.0730 0.9270 0.5689  3 Ga 2.54-2.72
Ga 0.2500 0.2500 0.1808  5 Ga 2.57-2.68
Ga 0.2500 0.2500 0.3445  5 Ga 2.57-2.72
Ga 0.2500 0.2500 0.6555  5 Ga 2.57-2.72
Ga 0.2500 0.2500 0.8192  5 Ga 2.57-2.68
Ga 0.4270 0.5730 0.5689  3 Ga 2.54-2.72
Ga 0.4270 0.9270 0.4311  3 Ga 2.54-2.72
Ga 0.5002 0.0002 0.0895  2 Au 2.66, 3 Ga 2.68-2.81
Ga 0.4998 0.9998 0.9105  2 Au 2.66, 3 Ga 2.68-2.81
Ga 0.4998 0.5002 0.0895  2 Au 2.66, 3 Ga 2.68-2.81
Ga 0.5002 0.4998 0.9105  2 Au 2.66, 3 Ga 2.68-2.81
Ga 0.5730 0.0730 0.5689  3 Ga 2.54-2.72
Ga 0.5730 0.4270 0.4311  3 Ga 2.54-2.72
Ga 0.7500 0.7500 0.1808  5 Ga 2.57-2.68
Ga 0.7500 0.7500 0.3445  5 Ga 2.57-2.72
Ga 0.7500 0.7500 0.6555  5 Ga 2.57-2.72
Ga 0.7500 0.7500 0.8192  5 Ga 2.57-2.68
Ga 0.9270 0.0730 0.4311  3 Ga 2.54-2.72
Ga 0.9270 0.4270 0.5689  3 Ga 2.54-2.72
Au 0.2500 0.7500 0.0000  8 Ga 2.66
Au 0.7500 0.2500 0.0000  8 Ga 2.66

[4]
Below is a relaxed Ac2GaAu6 crystal, with properties calculated at the PBE-GGA level.

Calculated values
Energy of formation from the pure elements: -62.7 kJ per mole of atoms

a b c (Å): 6.5353 6.5353 5.6999
angles (deg): 90.00 90.00 120.00
Closest atoms and distances in Å follow each position.
Atoms (fractional coordinates):
Ac 0.3333 0.6667 0.1790  12 Au 3.29-3.40
Ac 0.6667 0.3333 0.8210  12 Au 3.29-3.40
Ga 0.0000 0.0000 0.0000  6 Au 2.69
Au 0.1791 0.3583 0.6904  1 Ga 2.69, 2 Au 2.97
Au 0.1791 0.8209 0.6904  1 Ga 2.69, 2 Au 2.97
Au 0.3583 0.1791 0.3096  1 Ga 2.69, 2 Au 2.97
Au 0.6417 0.8209 0.6904  1 Ga 2.69, 2 Au 2.97
Au 0.8209 0.1791 0.3096  1 Ga 2.69, 2 Au 2.97
Au 0.8209 0.6417 0.3096  1 Ga 2.69, 2 Au 2.97

[5]
Below is a relaxed Ac2Ga3Au5 crystal, with properties calculated at the PBE-GGA level.

Calculated values
Energy of formation from the pure elements: -63.5 kJ per mole of atoms

a b c (Å): 9.0410 9.0410 9.0410
angles (deg): 107.15 87.93 137.84
Closest atoms and distances in Å follow each position.
Atoms (fractional coordinates):
Ac 0.1310 0.2380 0.3690  10 Au 3.29-3.57, 6 Ga 3.48-3.67
Ac 0.3690 0.7380 0.1069  10 Au 3.29-3.57, 6 Ga 3.48-3.67
Ac 0.6310 0.2620 0.8931  10 Au 3.29-3.57, 6 Ga 3.48-3.67
Ac 0.8690 0.7620 0.6310  10 Au 3.29-3.57, 6 Ga 3.48-3.67
Ga 0.1307 0.8856 0.0163  5 Au 2.55-2.65
Ga 0.2500 0.7500 0.5000  4 Au 2.66
Ga 0.3693 0.3856 0.7549  5 Au 2.55-2.65
Ga 0.6307 0.6144 0.2451  5 Au 2.55-2.65
Ga 0.7500 0.2500 0.5000  4 Au 2.66
Ga 0.8693 0.1144 0.9837  5 Au 2.55-2.65
Au 0.0105 0.7500 0.2605  2 Ga 2.65, 2 Au 2.89
Au 0.1044 0.6499 0.7542  3 Ga 2.55-2.66
Au 0.2500 0.2500 0.0000  4 Ga 2.65
Au 0.3956 0.1499 0.5455  3 Ga 2.55-2.66
Au 0.4895 0.7500 0.7395  2 Ga 2.65, 2 Au 2.89
Au 0.5105 0.2500 0.2605  2 Ga 2.65, 2 Au 2.89
Au 0.6044 0.8501 0.4545  3 Ga 2.55-2.66
Au 0.7500 0.7500 0.0000  4 Ga 2.65
Au 0.8956 0.3501 0.2458  3 Ga 2.55-2.66
Au 0.9895 0.2500 0.7395  2 Ga 2.65, 2 Au 2.89

[6]
Below is a relaxed AcGa2Au crystal, with properties calculated at the PBE-GGA level.

Calculated values
Energy of formation from the pure elements: -62.7 kJ per mole of atoms

a b c (Å): 7.5734 4.4480 11.3851
angles (deg): 90.00 90.00 90.00
Closest atoms and distances in Å follow each position.
Atoms (fractional coordinates):
Ac 0.1631 0.2500 0.1384  5 Au 3.28-3.52, 7 Ga 3.36-3.62
Ac 0.3369 0.7500 0.6384  5 Au 3.28-3.52, 7 Ga 3.36-3.62
Ac 0.6631 0.2500 0.3616  5 Au 3.28-3.52, 7 Ga 3.36-3.62
Ac 0.8369 0.7500 0.8616  5 Au 3.28-3.52, 7 Ga 3.36-3.62
Ga 0.0040 0.2500 0.6363  3 Ga 2.62-2.75, 2 Au 2.63-2.66
Ga 0.1782 0.2500 0.4372  3 Ga 2.62-2.75, 2 Au 2.77
Ga 0.3218 0.7500 0.9372  3 Ga 2.62-2.75, 2 Au 2.77
Ga 0.4960 0.7500 0.1363  3 Ga 2.62-2.75, 2 Au 2.63-2.66
Ga 0.5040 0.2500 0.8637  3 Ga 2.62-2.75, 2 Au 2.63-2.66
Ga 0.6782 0.2500 0.0628  3 Ga 2.62-2.75, 2 Au 2.77
Ga 0.8218 0.7500 0.5628  3 Ga 2.62-2.75, 2 Au 2.77
Ga 0.9960 0.7500 0.3637  3 Ga 2.62-2.75, 2 Au 2.63-2.66
Au 0.1534 0.2500 0.8444  4 Ga 2.63-2.77
Au 0.3466 0.7500 0.3444  4 Ga 2.63-2.77
Au 0.6534 0.2500 0.6556  4 Ga 2.63-2.77
Au 0.8466 0.7500 0.1556  4 Ga 2.63-2.77

What is the energy of formation from the pure elements in the fifth record?
-63.5 kJ per mole of atoms